1.
# TlCu2N (GGA-PBE, relaxed)
# Formation energy (no corrections)   0.25 eV/atom
# Total magnetization   0.00 μB/atom
data_TlCu2N
_chemical_formula_sum 'Tl4 Cu8 N4'
_cell_length_a 5.489
_cell_length_b 5.489
_cell_length_c 9.786
_cell_angle_alpha 90.00
_cell_angle_beta 90.00
_cell_angle_gamma 90.00
_symmetry_space_group_name_H-M 'I -4 2 d'
_symmetry_Int_Tables_number 122
_symmetry_space_group_name_Hall 'I -4 2bw'
loop_
_atom_site_label
_atom_site_type_symbol
_atom_site_fract_x
_atom_site_fract_y
_atom_site_fract_z
Tl1 Tl 0.000 0.000 0.000
Cu1 Cu 0.004 0.250 0.625
N1 N 0.000 0.000 0.500

***

2.
# Ir2RhS2 (GGA-PBE, relaxed)
# Formation energy (no corrections)   0.53 eV/atom
# Total magnetization   0.00 μB/atom
data_Ir2RhS2
_chemical_formula_sum 'Ir4 Rh2 S4'
_cell_length_a 7.077
_cell_length_b 7.077
_cell_length_c 2.924
_cell_angle_alpha 90.00
_cell_angle_beta 90.00
_cell_angle_gamma 90.00
_symmetry_space_group_name_H-M 'P 4/m b m'
_symmetry_Int_Tables_number 127
_symmetry_space_group_name_Hall '-P 4 2ab'
loop_
_atom_site_label
_atom_site_type_symbol
_atom_site_fract_x
_atom_site_fract_y
_atom_site_fract_z
Ir1 Ir 0.137 0.363 0.000
Rh1 Rh 0.000 0.000 0.000
S1 S 0.169 0.669 0.500

***

3.
# Ca2CdHg2 (GGA-PBE, relaxed)
# Formation enthalpy at 0 K   -2.2 eV/f.u.
# Total magnetization   0.00 μB/atom
data_Ca2CdHg2
_chemical_formula_sum 'Ca4 Cd2 Hg4'
_cell_length_a 8.175
_cell_length_b 8.175
_cell_length_c 4.144
_cell_angle_alpha 90.00
_cell_angle_beta 90.00
_cell_angle_gamma 90.00
_symmetry_space_group_name_H-M 'P 4/m b m'
_symmetry_Int_Tables_number 127
_symmetry_space_group_name_Hall '-P 4 2ab'
loop_
_atom_site_label
_atom_site_type_symbol
_atom_site_fract_x
_atom_site_fract_y
_atom_site_fract_z
Ca1 Ca 0.168 0.332 0.000
Cd1 Cd 0.000 0.000 0.500
Hg1 Hg 0.133 0.633 0.500

***

4.
# HfPIrCl2 (GGA-PBE, relaxed)
# Formation energy (no corrections)   0.42 eV/atom
# Total magnetization   0.40 μB/atom
data_HfPIrCl2
_chemical_formula_sum 'Hf1 P1 Ir1 Cl2'
_cell_length_a 4.780
_cell_length_b 4.780
_cell_length_c 5.270
_cell_angle_alpha 90.00
_cell_angle_beta 90.00
_cell_angle_gamma 90.00
_symmetry_space_group_name_H-M 'P 4/m m m'
_symmetry_Int_Tables_number 123
_symmetry_space_group_name_Hall '-P 4 2'
loop_
_atom_site_label
_atom_site_type_symbol
_atom_site_fract_x
_atom_site_fract_y
_atom_site_fract_z
Hf1 Hf 0.000 0.000 0.000
P1 P 0.000 0.000 0.500
Ir1 Ir 0.500 0.500 0.500
Cl1 Cl 0.000 0.500 0.000

***

5.
# BaIn3Bi (GGA-PBE, relaxed)
# Formation enthalpy at 0 K   4.0 eV/f.u.
# Total magnetization   0.00 μB/atom
data_BaIn3Bi
_chemical_formula_sum 'Ba1 In3 Bi1'
_cell_length_a 6.250
_cell_length_b 6.250
_cell_length_c 6.250
_cell_angle_alpha 90.00
_cell_angle_beta 90.00
_cell_angle_gamma 90.00
_symmetry_space_group_name_H-M 'P m -3 m'
_symmetry_Int_Tables_number 221
_symmetry_space_group_name_Hall '-P 4 2 3'
loop_
_atom_site_label
_atom_site_type_symbol
_atom_site_fract_x
_atom_site_fract_y
_atom_site_fract_z
Ba1 Ba 0.000 0.000 0.000
In1 In 0.000 0.000 0.500
Bi1 Bi 0.500 0.500 0.500

***

6.
# BeC (GGA-PBE, relaxed)
# Formation enthalpy at 0 K   2.5 eV/f.u.
# Total magnetization   0.00 μB/atom
data_BeC
_chemical_formula_sum 'Be3 C3'
_cell_length_a 4.1563
_cell_length_b 4.1563
_cell_length_c 2.9206
_cell_angle_alpha 90.00
_cell_angle_beta 90.00
_cell_angle_gamma 120.00
_symmetry_space_group_name_H-M 'P 6/m m m'
_symmetry_Int_Tables_number 191
_symmetry_space_group_name_Hall '-P 6 2'
loop_
_atom_site_label
_atom_site_type_symbol
_atom_site_fract_x
_atom_site_fract_y
_atom_site_fract_z
Be1 Be 0.0000 0.5000 0.0000
C1 C 0.0000 0.0000 0.0000
C2 C 0.3333 0.6667 0.5000

***

7.
# Dy4Co2Ag5 (GGA-PBE, relaxed)
# Formation enthalpy at 0 K   -2.7 eV/f.u.
# Total magnetization   0.00 μB/atom
data_Dy4Co2Ag5
_chemical_formula_sum 'Dy4 Co2 Ag5'
_cell_length_a 7.303
_cell_length_b 3.748
_cell_length_c 8.580
_cell_angle_alpha 90.00
_cell_angle_beta 95.52
_cell_angle_gamma 90.00
_symmetry_space_group_name_H-M 'P 1 2/m 1'
_symmetry_Int_Tables_number 10
_symmetry_space_group_name_Hall '-P 2y'
loop_
_atom_site_label
_atom_site_type_symbol
_atom_site_fract_x
_atom_site_fract_y
_atom_site_fract_z
Dy1 Dy 0.192 0.000 0.344
Dy2 Dy 0.226 0.000 0.925
Co1 Co 0.064 0.500 0.127
Ag1 Ag 0.158 0.500 0.635
Ag2 Ag 0.451 0.500 0.166
Ag3 Ag 0.500 0.500 0.500

***

8.
# TaAs3Br (GGA-PBE, relaxed)
# Formation energy (no corrections)   1.58 eV/atom
# Total magnetization   0.26 μB/atom
data_TaAs3Br
_chemical_formula_sum 'Ta1 As3 Br1'
_cell_length_a 4.896
_cell_length_b 4.896
_cell_length_c 4.896
_cell_angle_alpha 90.00
_cell_angle_beta 90.00
_cell_angle_gamma 90.00
_symmetry_space_group_name_H-M 'P m -3 m'
_symmetry_Int_Tables_number 221
_symmetry_space_group_name_Hall '-P 4 2 3'
loop_
_atom_site_label
_atom_site_type_symbol
_atom_site_fract_x
_atom_site_fract_y
_atom_site_fract_z
Ta1 Ta 0.000 0.000 0.000
As1 As 0.000 0.500 0.500
Br1 Br 0.500 0.500 0.500

***

9.
# YHgSN2 (GGA-PBE, relaxed)
# Formation energy (no corrections)   0.72 eV/atom
# Total magnetization   0.75 μB/atom
data_YHgSN2
_chemical_formula_sum 'Y1 Hg1 S1 N2'
_cell_length_a 4.575
_cell_length_b 4.575
_cell_length_c 5.513
_cell_angle_alpha 90.00
_cell_angle_beta 90.00
_cell_angle_gamma 90.00
_symmetry_space_group_name_H-M 'P 4/m m m'
_symmetry_Int_Tables_number 123
_symmetry_space_group_name_Hall '-P 4 2'
loop_
_atom_site_label
_atom_site_type_symbol
_atom_site_fract_x
_atom_site_fract_y
_atom_site_fract_z
Y1 Y 0.000 0.000 0.000
Hg1 Hg 0.500 0.500 0.500
S1 S 0.000 0.000 0.500
N1 N 0.000 0.500 0.000

***

10.
# Tb7Pr2Ho3 (GGA-PBE, relaxed)
# Formation enthalpy at 0 K   0.9 eV/f.u.
# Total magnetization   0.00 μB/atom
data_Tb7Pr2Ho3
_chemical_formula_sum 'Tb7 Pr2 Ho3'
_cell_length_a 6.363
_cell_length_b 3.530
_cell_length_c 17.521
_cell_angle_alpha 90.00
_cell_angle_beta 96.11
_cell_angle_gamma 90.00
_symmetry_space_group_name_H-M 'P 1 2/m 1'
_symmetry_Int_Tables_number 10
_symmetry_space_group_name_Hall '-P 2y'
loop_
_atom_site_label
_atom_site_type_symbol
_atom_site_fract_x
_atom_site_fract_y
_atom_site_fract_z
Tb1 Tb 0.000 0.000 0.000
Tb2 Tb 0.229 0.500 0.167
Tb3 Tb 0.257 0.500 0.499
Tb4 Tb 0.275 0.000 0.837
Pr1 Pr 0.058 0.500 0.673
Ho1 Ho 0.453 0.000 0.342
Ho2 Ho 0.500 0.500 0.000

***

11.
# ClF (GGA-PBE, relaxed)
# Formation energy (no corrections)   0.47 eV/atom
# Total magnetization   1.00 μB/atom
data_ClF
_chemical_formula_sum 'Cl4 F4'
_cell_length_a 5.698
_cell_length_b 5.698
_cell_length_c 5.698
_cell_angle_alpha 90.00
_cell_angle_beta 90.00
_cell_angle_gamma 90.00
_symmetry_space_group_name_H-M 'F -4 3 m'
_symmetry_Int_Tables_number 216
_symmetry_space_group_name_Hall 'F -4 2 3'
loop_
_atom_site_label
_atom_site_type_symbol
_atom_site_fract_x
_atom_site_fract_y
_atom_site_fract_z
Cl1 Cl 0.000 0.000 0.000
F1 F 0.250 0.250 0.250

***

12.
# CsRb2Au3 (GGA-PBE, relaxed)
# Formation enthalpy at 0 K   -1.7 eV/f.u.
# Total magnetization   0.00 μB/atom
data_CsRb2Au3
_chemical_formula_sum 'Cs1 Rb2 Au3'
_cell_length_a 4.239
_cell_length_b 4.239
_cell_length_c 12.699
_cell_angle_alpha 90.00
_cell_angle_beta 90.00
_cell_angle_gamma 90.00
_symmetry_space_group_name_H-M 'P 4/m m m'
_symmetry_Int_Tables_number 123
_symmetry_space_group_name_Hall '-P 4 2'
loop_
_atom_site_label
_atom_site_type_symbol
_atom_site_fract_x
_atom_site_fract_y
_atom_site_fract_z
Cs1 Cs 0.000 0.000 0.000
Rb1 Rb 0.000 0.000 0.337
Au1 Au 0.500 0.500 0.178
Au2 Au 0.500 0.500 0.500